P | A geometry-optimized Sm2MgAg4 structure, computed with GGA-PBE.

Cell lengths 9.6666, 9.6666, 9.6666 Å; angles 28.02, 28.02, 28.02 degrees
Last column: nearest neighbours and their distance in Å.
Fractional coordinates of all 7 atoms:
Sm (0.2494, 0.2494, 0.2494)  8 Ag 3.06-3.15
Sm (0.7506, 0.7506, 0.7506)  8 Ag 3.06-3.15
Mg (0.0000, 0.0000, 0.0000)  6 Ag 2.80
Ag (0.1394, 0.1394, 0.1394)  4 Sm 3.06-3.11, 3 Ag 3.10
Ag (0.3594, 0.3594, 0.3594)  3 Mg 2.80, 1 Sm 3.06, 3 Ag 3.07
Ag (0.6406, 0.6406, 0.6406)  3 Mg 2.80, 1 Sm 3.06, 3 Ag 3.07
Ag (0.8606, 0.8606, 0.8606)  4 Sm 3.06-3.11, 3 Ag 3.10

Output
The volume comes out at 25.1 Å³/atom. The value obtained for the spin magnetization is 0.00 μB per cell.

***

Q | A geometry-optimized Sm2MgAg4 structure, computed with GGA-PBE.

Cell lengths 8.4374, 8.4374, 8.4374 Å; angles 146.12, 146.12, 48.67 degrees
Last column: nearest neighbours and their distance in Å.
Fractional coordinates of all 7 atoms:
Sm (0.1308, 0.1308, 0.0000)  5 Ag 3.01-3.18
Sm (0.8692, 0.8692, 0.0000)  5 Ag 3.01-3.18
Mg (0.5000, 0.5000, 0.0000)  6 Ag 2.46-2.67
Ag (0.0000, 0.5000, 0.5000)  2 Mg 2.46
Ag (0.3264, 0.3264, 0.0000)  1 Mg 2.67
Ag (0.5000, 0.0000, 0.5000)  2 Mg 2.46
Ag (0.6736, 0.6736, 0.0000)  1 Mg 2.67

Output
The volume comes out at 26.5 Å³/atom. The value obtained for the spin magnetization is 0.00 μB per cell.

***

Relative energies, unit eV/atom: P 0.000; Q 0.248

***

P | A geometry-optimized Sm2MgAg6 structure, computed with GGA-PBE.

Cell lengths 8.2739, 8.2739, 3.3745 Å; angles 90.06, 90.06, 60.01 degrees
Last column: nearest neighbours and their distance in Å.
Fractional coordinates of all 9 atoms:
Sm (0.1667, 0.1667, 0.0000)  12 Ag 3.24-3.25, 2 Sm 3.37
Sm (0.8333, 0.8333, 0.0000)  12 Ag 3.24-3.25, 2 Sm 3.37
Mg (0.5000, 0.5000, 0.0000)  12 Ag 3.20-3.21, 2 Mg 3.37
Ag (0.1703, 0.5000, 0.5010)  3 Ag 2.73-2.82
Ag (0.1702, 0.8298, 0.5000)  3 Ag 2.73-2.82
Ag (0.5000, 0.1703, 0.5010)  3 Ag 2.73-2.82
Ag (0.5000, 0.8297, 0.4990)  3 Ag 2.73-2.82
Ag (0.8298, 0.1702, 0.5000)  3 Ag 2.73-2.82
Ag (0.8297, 0.5000, 0.4990)  3 Ag 2.73-2.82

Output
The volume comes out at 22.2 Å³/atom. The value obtained for the spin magnetization is 0.00 μB per cell.

***

Q | A geometry-optimized Sm2MgAg6 structure, computed with GGA-PBE.

Cell lengths 6.2560, 6.2560, 5.8385 Å; angles 90.00, 90.00, 120.00 degrees
Last column: nearest neighbours and their distance in Å.
Fractional coordinates of all 9 atoms:
Sm (0.3333, 0.6667, 0.1561)  12 Ag 3.26-3.45
Sm (0.6667, 0.3333, 0.8439)  12 Ag 3.26-3.45
Mg (0.0000, 0.0000, 0.0000)  6 Ag 2.73
Ag (0.1813, 0.3626, 0.6751)  1 Mg 2.73, 4 Ag 2.84-2.85
Ag (0.1813, 0.8187, 0.6751)  1 Mg 2.73, 4 Ag 2.84-2.85
Ag (0.3626, 0.1813, 0.3249)  1 Mg 2.73, 4 Ag 2.84-2.85
Ag (0.6374, 0.8187, 0.6751)  1 Mg 2.73, 4 Ag 2.84-2.85
Ag (0.8187, 0.1813, 0.3249)  1 Mg 2.73, 4 Ag 2.84-2.85
Ag (0.8187, 0.6374, 0.3249)  1 Mg 2.73, 4 Ag 2.84-2.85

Output
The volume comes out at 22.0 Å³/atom. The value obtained for the spin magnetization is 0.00 μB per cell.

***

Relative energies, unit eV/atom: P 0.037; Q 0.000

***

P | A geometry-optimized SmTmMgAg structure, computed with GGA-PBE.

Cell lengths 3.7333, 3.7333, 7.3604 Å; angles 90.00, 90.00, 90.00 degrees
Last column: nearest neighbours and their distance in Å.
Fractional coordinates of all 4 atoms:
Sm (0.0000, 0.0000, 0.0000)  4 Ag 3.27, 4 Mg 3.29, 1 Tm 3.55
Tm (0.0000, 0.0000, 0.4820)  4 Ag 3.10, 4 Mg 3.22
Mg (0.5000, 0.5000, 0.7323)  4 Tm 3.22, 4 Sm 3.29, 1 Ag 3.47
Ag (0.5000, 0.5000, 0.2613)  4 Tm 3.10, 4 Sm 3.27, 1 Mg 3.47

Output
The volume comes out at 25.6 Å³/atom. The value obtained for the spin magnetization is 0.00 μB per cell.

***

Q | A geometry-optimized SmTmMgAg structure, computed with GGA-PBE.

Cell lengths 5.2631, 5.2631, 5.2631 Å; angles 60.00, 60.00, 60.00 degrees
Last column: nearest neighbours and their distance in Å.
Fractional coordinates of all 4 atoms:
Sm (0.0000, 0.0000, 0.0000)  4 Mg 3.22, 4 Ag 3.22
Tm (0.5000, 0.5000, 0.5000)  4 Mg 3.22, 4 Ag 3.22
Mg (0.2500, 0.2500, 0.2500)  4 Tm 3.22, 4 Sm 3.22
Ag (0.7500, 0.7500, 0.7500)  4 Tm 3.22, 4 Sm 3.22

Output
The volume comes out at 25.8 Å³/atom. The value obtained for the spin magnetization is 0.00 μB per cell.

***

Relative energies, unit eV/atom: P 0.000; Q 0.042

***

P | A geometry-optimized Mg4Ag2Sn structure, computed with GGA-PBE.

Cell lengths 9.8707, 9.8707, 9.8707 Å; angles 26.33, 26.33, 26.33 degrees
Last column: nearest neighbours and their distance in Å.
Fractional coordinates of all 7 atoms:
Mg (0.1149, 0.1149, 0.1149)  3 Ag 2.92, 3 Sn 2.99
Mg (0.3017, 0.3017, 0.3017)  4 Ag 2.80-2.85
Mg (0.6983, 0.6983, 0.6983)  4 Ag 2.80-2.85
Mg (0.8851, 0.8851, 0.8851)  3 Ag 2.92, 3 Sn 2.99
Ag (0.4016, 0.4016, 0.4016)  7 Mg 2.80-2.92, 1 Sn 2.81
Ag (0.5984, 0.5984, 0.5984)  7 Mg 2.80-2.92, 1 Sn 2.81
Sn (0.5000, 0.5000, 0.5000)  2 Ag 2.81, 6 Mg 2.99

Output
The volume comes out at 23.8 Å³/atom. The value obtained for the spin magnetization is 0.00 μB per cell.

***

Q | A geometry-optimized Mg4Ag2Sn structure, computed with GGA-PBE.

Cell lengths 8.2647, 8.2647, 8.2647 Å; angles 33.47, 33.47, 33.47 degrees
Last column: nearest neighbours and their distance in Å.
Fractional coordinates of all 7 atoms:
Mg (0.1092, 0.1092, 0.1092)  3 Ag 2.81, 3 Sn 3.06
Mg (0.3682, 0.3682, 0.3682)  4 Ag 2.77-2.97, 1 Sn 3.08
Mg (0.6318, 0.6318, 0.6318)  4 Ag 2.77-2.97, 1 Sn 3.08
Mg (0.8908, 0.8908, 0.8908)  3 Ag 2.81, 3 Sn 3.06
Ag (0.2497, 0.2497, 0.2497)  7 Mg 2.77-2.97
Ag (0.7503, 0.7503, 0.7503)  7 Mg 2.77-2.97
Sn (0.5000, 0.5000, 0.5000)  8 Mg 3.06-3.08, 6 Ag 3.36

Output
The volume comes out at 21.8 Å³/atom. The value obtained for the spin magnetization is 0.00 μB per cell.

***

Relative energies, unit eV/atom: P 0.062; Q 0.000

***

P | A geometry-optimized Mg8Ag2Sn structure, computed with GGA-PBE.

Cell lengths 4.7441, 7.0659, 8.2855 Å; angles 115.11, 106.35, 90.02 degrees
Last column: nearest neighbours and their distance in Å.
Fractional coordinates of all 11 atoms:
Mg (0.0000, 0.0000, 0.0000)  3 Ag 2.96-3.06, 1 Sn 3.00, 5 Mg 3.02-3.25
Mg (0.0428, 0.4873, 0.0870)  3 Ag 2.82-2.87, 5 Mg 3.02-3.10
Mg (0.2139, 0.3618, 0.4319)  1 Ag 2.86, 2 Sn 2.99-3.01, 3 Mg 3.02-3.16
Mg (0.3361, 0.8574, 0.6713)  2 Ag 2.79-2.80, 1 Sn 3.13
Mg (0.4598, 0.6093, 0.9192)  1 Ag 2.87, 2 Sn 2.99-3.01, 4 Mg 3.03-3.20
Mg (0.6284, 0.0753, 0.2587)  3 Ag 2.82-2.87, 5 Mg 3.02-3.09
Mg (0.6712, 0.6703, 0.3453)  3 Ag 2.96-3.07, 1 Sn 3.00, 6 Mg 3.02-3.31
Mg (0.8371, 0.1500, 0.6723)  1 Sn 2.96, 6 Mg 3.09-3.23, 2 Ag 3.31
Ag (0.1729, 0.9248, 0.3507)  8 Mg 2.79-3.06
Ag (0.4961, 0.2457, 0.9914)  8 Mg 2.80-3.07
Sn (0.8364, 0.5697, 0.6740)  9 Mg 2.96-3.13

Output
The volume comes out at 21.7 Å³/atom. The value obtained for the spin magnetization is 0.00 μB per cell.

***

Q | A geometry-optimized Mg8Ag2Sn structure, computed with GGA-PBE.

Cell lengths 7.6305, 7.6305, 5.1324 Å; angles 100.89, 100.89, 117.61 degrees
Last column: nearest neighbours and their distance in Å.
Fractional coordinates of all 11 atoms:
Mg (0.0878, 0.3267, 0.6084)  2 Ag 2.76-2.85, 1 Mg 3.05
Mg (0.2284, 0.7716, 0.0000)  2 Ag 2.75, 1 Sn 2.98
Mg (0.3267, 0.0878, 0.6084)  2 Ag 2.76-2.85, 1 Mg 3.05
Mg (0.4007, 0.4007, 0.1998)  2 Mg 2.90-3.00, 2 Ag 2.94, 1 Sn 2.95
Mg (0.5993, 0.5993, 0.8002)  2 Mg 2.90-3.00, 2 Ag 2.94, 1 Sn 2.95
Mg (0.6733, 0.9122, 0.3916)  2 Ag 2.76-2.85, 1 Mg 3.05
Mg (0.7716, 0.2284, 0.0000)  2 Ag 2.75, 1 Sn 2.98
Mg (0.9122, 0.6733, 0.3916)  2 Ag 2.76-2.85, 1 Mg 3.05
Ag (0.3041, 0.6959, 0.5000)  8 Mg 2.75-2.94
Ag (0.6959, 0.3041, 0.5000)  8 Mg 2.75-2.94
Sn (0.0000, 0.0000, 0.0000)  4 Mg 2.95-2.98

Output
The volume comes out at 22.4 Å³/atom. The value obtained for the spin magnetization is 0.00 μB per cell.

***

Relative energies, unit eV/atom: P 0.000; Q 0.030

***

P | A geometry-optimized MgAg8Sn2 structure, computed with GGA-PBE.

Cell lengths 7.5538, 7.5538, 7.0526 Å; angles 112.77, 112.77, 35.06 degrees
Last column: nearest neighbours and their distance in Å.
Fractional coordinates of all 11 atoms:
Mg (0.0000, 0.0000, 0.0000)  12 Ag 2.87-3.15
Ag (0.0858, 0.0858, 0.4457)  4 Ag 2.87-2.94, 1 Mg 2.87, 3 Sn 2.96-3.10
Ag (0.1765, 0.1765, 0.9015)  1 Mg 2.90, 3 Sn 2.91-3.12, 8 Ag 2.92-3.20
Ag (0.3643, 0.3643, 0.8231)  3 Ag 2.85-2.97, 2 Mg 2.93, 3 Sn 2.98-3.04
Ag (0.4591, 0.4591, 0.2657)  7 Ag 2.85-3.03, 1 Sn 2.90, 2 Mg 3.15
Ag (0.5409, 0.5409, 0.7343)  7 Ag 2.85-3.03, 1 Sn 2.90, 2 Mg 3.15
Ag (0.6357, 0.6357, 0.1769)  3 Ag 2.85-2.97, 2 Mg 2.93, 3 Sn 2.98-3.04
Ag (0.8235, 0.8235, 0.0985)  1 Mg 2.90, 3 Sn 2.91-3.12, 8 Ag 2.92-3.20
Ag (0.9142, 0.9142, 0.5543)  4 Ag 2.87-2.94, 1 Mg 2.87, 3 Sn 2.96-3.10
Sn (0.2783, 0.2783, 0.3518)  10 Ag 2.90-3.12
Sn (0.7217, 0.7217, 0.6482)  10 Ag 2.90-3.12

Output
The volume comes out at 19.2 Å³/atom. The value obtained for the spin magnetization is 0.00 μB per cell.

***

Q | A geometry-optimized MgAg8Sn2 structure, computed with GGA-PBE.

Cell lengths 7.7144, 7.7144, 7.7144 Å; angles 148.34, 112.10, 76.85 degrees
Last column: nearest neighbours and their distance in Å.
Fractional coordinates of all 11 atoms:
Mg (0.0000, 0.0000, 0.0000)  12 Ag 2.92-2.95
Ag (0.0853, 0.8364, 0.2489)  7 Ag 2.89-3.01, 1 Mg 2.92, 3 Sn 3.02-3.12
Ag (0.1712, 0.6712, 0.5000)  8 Ag 2.90-3.01, 2 Mg 2.95, 2 Sn 3.03
Ag (0.2353, 0.5000, 0.7353)  6 Ag 2.89-2.90, 2 Sn 2.90, 2 Mg 2.92
Ag (0.4125, 0.1636, 0.2489)  7 Ag 2.89-3.01, 1 Mg 2.92, 3 Sn 3.02-3.12
Ag (0.5875, 0.8364, 0.7511)  7 Ag 2.89-3.01, 1 Mg 2.92, 3 Sn 3.02-3.12
Ag (0.7647, 0.5000, 0.2647)  6 Ag 2.89-2.90, 2 Sn 2.90, 2 Mg 2.92
Ag (0.8288, 0.3288, 0.5000)  8 Ag 2.90-3.01, 2 Mg 2.95, 2 Sn 3.03
Ag (0.9147, 0.1636, 0.7511)  7 Ag 2.89-3.01, 1 Mg 2.92, 3 Sn 3.02-3.12
Sn (0.3514, 0.3514, 0.0000)  10 Ag 2.90-3.12
Sn (0.6486, 0.6486, 0.0000)  10 Ag 2.90-3.12

Output
The volume comes out at 19.9 Å³/atom. The value obtained for the spin magnetization is 0.00 μB per cell.

***

Relative energies, unit eV/atom: P 0.000; Q 0.006

***

P | A geometry-optimized Mg2Ag4Sn structure, computed with GGA-PBE.

Cell lengths 9.0759, 9.0759, 9.0759 Å; angles 156.25, 151.33, 37.56 degrees
Last column: nearest neighbours and their distance in Å.
Fractional coordinates of all 7 atoms:
Mg (0.1174, 0.1174, 0.0000)  6 Ag 2.85-2.93, 2 Sn 3.02
Mg (0.8826, 0.8826, 0.0000)  6 Ag 2.85-2.93, 2 Sn 3.02
Ag (0.2430, 0.7430, 0.5000)  2 Mg 2.85, 8 Ag 2.89-2.99
Ag (0.3714, 0.3714, 0.0000)  4 Ag 2.89-2.99, 2 Sn 2.89, 4 Mg 2.93
Ag (0.6286, 0.6286, 0.0000)  4 Ag 2.89-2.99, 2 Sn 2.89, 4 Mg 2.93
Ag (0.7570, 0.2570, 0.5000)  2 Mg 2.85, 8 Ag 2.89-2.99
Sn (0.5000, 0.0000, 0.5000)  4 Ag 2.89, 4 Mg 3.02

Output
The volume comes out at 20.6 Å³/atom. The value obtained for the spin magnetization is 0.00 μB per cell.

***

Q | A geometry-optimized Mg2Ag4Sn structure, computed with GGA-PBE.

Cell lengths 7.0129, 5.7699, 5.7251 Å; angles 75.19, 52.70, 52.11 degrees
Last column: nearest neighbours and their distance in Å.
Fractional coordinates of all 7 atoms:
Mg (0.2500, 0.2500, 0.2500)  8 Ag 2.90-2.92, 2 Mg 2.91
Mg (0.7500, 0.7500, 0.7500)  8 Ag 2.90-2.92, 2 Mg 2.91
Ag (0.2014, 0.7986, 0.2014)  4 Ag 2.84-3.06, 4 Mg 2.92, 1 Sn 2.95
Ag (0.2039, 0.2039, 0.7961)  4 Ag 2.84-3.05, 4 Mg 2.90, 1 Sn 2.95
Ag (0.7961, 0.7961, 0.2039)  4 Ag 2.84-3.05, 4 Mg 2.90, 1 Sn 2.95
Ag (0.7986, 0.2014, 0.7986)  4 Ag 2.84-3.06, 4 Mg 2.92, 1 Sn 2.95
Sn (0.5000, 0.5000, 0.5000)  4 Ag 2.95

Output
The volume comes out at 20.4 Å³/atom. The value obtained for the spin magnetization is 0.00 μB per cell.

***

Relative energies, unit eV/atom: P 0.000; Q 0.060

***

P | A geometry-optimized Mg6AgSn structure, computed with GGA-PBE.

Cell lengths 6.2701, 6.2701, 5.0427 Å; angles 90.00, 90.00, 120.00 degrees
Last column: nearest neighbours and their distance in Å.
Fractional coordinates of all 8 atoms:
Mg (0.0025, 0.5012, 0.0000)  8 Mg 3.11-3.16, 2 Sn 3.11, 2 Ag 3.14
Mg (0.1619, 0.3237, 0.5000)  8 Mg 3.04-3.23, 2 Ag 3.07, 2 Sn 3.14
Mg (0.1619, 0.8381, 0.5000)  8 Mg 3.04-3.23, 2 Ag 3.07, 2 Sn 3.14
Mg (0.4988, 0.5012, 0.0000)  8 Mg 3.11-3.16, 2 Sn 3.11, 2 Ag 3.14
Mg (0.4988, 0.9975, 0.0000)  8 Mg 3.11-3.16, 2 Sn 3.11, 2 Ag 3.14
Mg (0.6763, 0.8381, 0.5000)  8 Mg 3.04-3.23, 2 Ag 3.07, 2 Sn 3.14
Ag (0.0000, 0.0000, 0.0000)  12 Mg 3.07-3.14
Sn (0.6667, 0.3333, 0.5000)  12 Mg 3.11-3.14

Output
The volume comes out at 21.5 Å³/atom. The value obtained for the spin magnetization is 0.00 μB per cell.

***

Q | A geometry-optimized Mg6AgSn structure, computed with GGA-PBE.

Cell lengths 4.4580, 4.4580, 8.6659 Å; angles 90.00, 90.00, 90.00 degrees
Last column: nearest neighbours and their distance in Å.
Fractional coordinates of all 8 atoms:
Mg (0.0000, 0.0000, 0.0000)  8 Mg 3.04, 4 Ag 3.15
Mg (0.0000, 0.0000, 0.5000)  4 Sn 3.15, 8 Mg 3.18
Mg (0.0000, 0.5000, 0.2385)  2 Ag 3.04, 8 Mg 3.04-3.18, 2 Sn 3.18
Mg (0.0000, 0.5000, 0.7615)  2 Ag 3.04, 8 Mg 3.04-3.18, 2 Sn 3.18
Mg (0.5000, 0.0000, 0.2385)  2 Ag 3.04, 8 Mg 3.04-3.18, 2 Sn 3.18
Mg (0.5000, 0.0000, 0.7615)  2 Ag 3.04, 8 Mg 3.04-3.18, 2 Sn 3.18
Ag (0.5000, 0.5000, 0.0000)  12 Mg 3.04-3.15
Sn (0.5000, 0.5000, 0.5000)  12 Mg 3.15-3.18

Output
The volume comes out at 21.5 Å³/atom. The value obtained for the spin magnetization is 0.00 μB per cell.

***

Relative energies, unit eV/atom: P 0.013; Q 0.000